Below is a geometry-optimized Hg6Pd2Au structure, with properties calculated at the GGA-PBE level.

The value obtained for the total magnetization is 0.0000 μB per atom. As for the symmetry: No. 12. The value obtained for the volume is 22.37 Å³ per atom. The formation energy comes out at -0.009 eV per atom. Its density of states at the Fermi level is 2.48 states/eV/f.u.

abc: 7.1326 7.1326 8.5043
angles: 125.80 125.80 36.18
Fractional coordinates of all 9 atoms:
Hg 0.0438 0.0438 0.3873
Hg 0.2752 0.2752 0.3317
Hg 0.3398 0.3398 0.0355
Hg 0.6602 0.6602 0.9645
Hg 0.7248 0.7248 0.6683
Hg 0.9562 0.9562 0.6127
Pd 0.3935 0.3935 0.7499
Pd 0.6065 0.6065 0.2501
Au 0.0000 0.0000 0.0000